1.
## Li2Ge2Pt3 (GGA-PBE)

Data for a relaxed Li2Ge2Pt3 crystal.

Cell lengths 10.3543, 3.5454, 6.7557 Å; angles 90.00, 111.61, 90.00 degrees
Closest atoms and distances in Å follow each position.
Space group C2/m (No. 12)
Asymmetric unit:
Li1 0.0960 0.0000 0.2521  6 Pt 2.74-2.86, 4 Ge 2.81-2.96
Ge1 0.1684 0.0000 0.7193  5 Pt 2.46-2.57
Pt1 0.0000 0.5000 0.5000  4 Ge 2.54
Pt2 0.1198 0.5000 0.9576  3 Ge 2.46-2.57, 2 Li 2.74, 1 Pt 2.74

Properties
ΔE to the lowest computed polymorph	0.0333	eV per atom
magnetization	0.00	μB per formula unit

---

2.
## HfZrBi (GGA-PBE)

Data for a relaxed HfZrBi crystal.

Cell lengths 3.3134, 3.3139, 7.1777 Å; angles 78.69, 78.60, 73.84 degrees
Closest atoms and distances in Å follow each position.
Space group P1 (No. 1)
Asymmetric unit:
Hf1 0.0000 0.0000 0.0000  3 Zr 3.01-3.15, 3 Bi 3.10-3.34, 4 Hf 3.31
Zr1 0.6880 0.6851 0.6802  3 Hf 3.01-3.15, 2 Bi 3.10-3.11, 4 Zr 3.31
Bi1 0.3340 0.3328 0.3392  3 Hf 3.10-3.34, 3 Zr 3.10-3.43, 4 Bi 3.31

Properties
magnetization	0.00	μB per formula unit
total energy	-7.554	eV per atom

---

3.
## TmGaIr2 (GGA-PBE)

Data for a relaxed TmGaIr2 crystal.

Cell lengths 5.6266, 7.3600, 8.4024 Å; angles 90.00, 90.00, 90.00 degrees
Closest atoms and distances in Å follow each position.
Space group Pmma (No. 51)
Asymmetric unit:
Tm1 0.2500 0.0000 0.1916  2 Ga 2.84, 2 Ir 2.95
Tm2 0.2500 0.5000 0.2810  4 Ir 2.62-2.75, 2 Ga 2.84
Ga1 0.2500 0.0000 0.7639  4 Ir 2.63-2.90, 2 Tm 2.84
Ga2 0.2500 0.5000 0.7664  4 Ir 2.41-2.43
Ir1 0.0000 0.0000 0.5000  6 Ir 2.63-2.81, 2 Ga 2.63
Ir2 0.0000 0.5000 0.0000  2 Ga 2.41
Ir3 0.2500 0.2980 0.5377  1 Ga 2.43, 1 Tm 2.62, 2 Ir 2.63

Properties
magnetization	0.00	μB per formula unit
total energy	-6.373	eV per atom

---

4.
## ReAsPt2 (GGA-PBE)

Data for a relaxed ReAsPt2 crystal.

Cell lengths 2.7957, 4.8163, 9.6230 Å; angles 90.00, 90.00, 90.00 degrees
Closest atoms and distances in Å follow each position.
Space group Cmm2 (No. 35)
Asymmetric unit:
Re1 0.0000 0.0000 0.0000  2 Pt 2.69, 2 As 2.70, 6 Re 2.78-2.80
As1 0.0000 0.5000 0.2397  2 Re 2.70, 6 As 2.78-2.80, 2 Pt 2.92
Pt1 0.0000 0.0000 0.5061  8 Pt 2.78-2.83, 2 As 2.92
Pt2 0.0000 0.5000 0.7613  2 Re 2.69, 8 Pt 2.78-2.83

Properties
magnetization	0.00	μB per formula unit
total energy	-6.997	eV per atom

---

5.
## KTaSb2 (GGA-PBE)

Data for a relaxed KTaSb2 crystal.

Cell lengths 7.3326, 7.3326, 7.3326 Å; angles 90.00, 90.00, 90.00 degrees
Closest atoms and distances in Å follow each position.
Space group Fm-3m (No. 225)
Asymmetric unit:
K1 0.0000 0.0000 0.0000  8 Sb 3.18
Ta1 0.0000 0.0000 0.5000  8 Sb 3.18
Sb1 0.2500 0.2500 0.2500  4 Ta 3.18, 4 K 3.18

Properties
ΔE to the lowest computed polymorph	0.5339	eV per atom
magnetization	1.40	μB per formula unit
formation energy without anion corrections	42.1	kJ per mole of atoms

---

6.
## K2CdReN (GGA-PBE)

Data for a relaxed K2CdReN crystal.

Cell lengths 6.5799, 6.5799, 5.2477 Å; angles 90.00, 90.00, 90.00 degrees
Closest atoms and distances in Å follow each position.
Space group P4/mmm (No. 123)
Asymmetric unit:
K1 0.0000 0.5000 0.0000  2 Cd 3.29
Cd1 0.0000 0.0000 0.0000  2 Re 2.62
Re1 0.0000 0.0000 0.5000  2 Cd 2.62
N1 0.5000 0.5000 0.5000  8 K 4.21, 4 Re 4.65

Properties
magnetization	5.61	μB per formula unit
formation energy without anion corrections	193.2	kJ per mole of atoms

---

7.
## KSNO3 (GGA-PBE)

Data for a relaxed KSNO3 crystal.

Cell lengths 5.8298, 8.1895, 9.2547 Å; angles 90.00, 90.00, 90.00 degrees
Closest atoms and distances in Å follow each position.
Space group Pbcm (No. 57)
Asymmetric unit:
K1 0.1787 0.2500 0.0000  6 O 2.81-3.08
S1 0.3183 0.6445 0.2500  3 O 1.47, 1 N 1.64
N1 0.1785 0.6817 0.7500  1 S 1.64
O1 0.2415 0.5643 0.1162  1 S 1.47
O2 0.4360 0.1850 0.2500  1 S 1.47

Properties
magnetization	2.07	μB per formula unit
formation energy without anion corrections	-78.2	kJ per mole of atoms

---

8.
## AcHfNiN3 (GGA-PBE)

Data for a relaxed AcHfNiN3 crystal.

Cell lengths 7.1389, 3.3703, 7.5323 Å; angles 90.00, 106.45, 90.00 degrees
Closest atoms and distances in Å follow each position.
Space group P2_1/m (No. 11)
Asymmetric unit:
Ac1 0.2009 0.2500 0.2270  7 N 2.60-2.83
Hf1 0.3323 0.7500 0.8527  5 N 2.14-2.29
Ni1 0.0927 0.2500 0.5933  4 N 1.96-2.01
N1 0.1317 0.2500 0.8687  1 Ni 2.01, 2 Hf 2.24
N2 0.1907 0.7500 0.5212  3 Ni 1.96
N3 0.4504 0.7500 0.1478  3 Hf 2.14-2.29

Properties
magnetization	0.80	μB per formula unit
formation energy without anion corrections	-89.4	kJ per mole of atoms

---

9.
## YTl2 (GGA-PBE)

Data for a relaxed YTl2 crystal.

Cell lengths 5.0547, 5.0547, 3.7681 Å; angles 90.00, 90.00, 120.00 degrees
Closest atoms and distances in Å follow each position.
Space group P-3m1 (No. 164)
Asymmetric unit:
Y1 0.0000 0.0000 0.0000  6 Tl 3.21
Tl1 0.3333 0.6667 0.3546  3 Tl 3.12, 3 Y 3.21

Properties
magnetization	0.00	μB per formula unit
total energy	-3.961	eV per atom

---

10.
## Ni11As8 (GGA-PBE)

Data for a relaxed Ni11As8 crystal.

Cell lengths 9.7579, 9.7645, 11.2191 Å; angles 90.00, 102.36, 90.00 degrees
Closest atoms and distances in Å follow each position.
Space group C2/c (No. 15)
Asymmetric unit:
Ni1 0.0000 0.1886 0.2500  6 As 2.48-2.66, 4 Ni 2.72
Ni2 0.0555 0.4044 0.5926  5 As 2.39-2.46, 2 Ni 2.53-2.59
Ni3 0.1122 0.0339 0.0936  5 As 2.31-2.49, 1 Ni 2.52
Ni4 0.1323 0.2172 0.9075  5 As 2.39-2.45, 2 Ni 2.53-2.59
Ni5 0.1933 0.3389 0.4073  5 As 2.31-2.50, 1 Ni 2.51
Ni6 0.2396 0.4374 0.2133  5 As 2.35-2.49, 4 Ni 2.51-2.53
As1 0.0000 0.0674 0.7500  7 Ni 2.44-2.50
As2 0.0000 0.4423 0.2500  7 Ni 2.46-2.50
As3 0.0606 0.1873 0.4926  6 Ni 2.31-2.44
As4 0.1868 0.4374 0.9989  7 Ni 2.35-2.42
As5 0.2452 0.3121 0.7504  7 Ni 2.44-2.49

Properties
magnetization	0.00	μB per formula unit
total energy	-5.611	eV per atom

---

11.
## KAg2Os (GGA-PBE)

Data for a relaxed KAg2Os crystal.

Cell lengths 5.4413, 2.6833, 5.8584 Å; angles 90.00, 113.23, 90.00 degrees
Closest atoms and distances in Å follow each position.
Space group P2/m (No. 10)
Asymmetric unit:
K1 0.0000 0.0000 0.0000  2 K 2.68, 2 Ag 2.93
Ag1 0.0000 0.0000 0.5000  2 Ag 2.68, 2 K 2.93
Ag2 0.5000 0.5000 0.0000  2 Ag 2.68, 2 Os 2.93
Os1 0.5000 0.5000 0.5000  2 Os 2.68, 2 Ag 2.93

Properties
ΔE to the lowest computed polymorph	0.1640	eV per atom
magnetization	0.35	μB per formula unit

---

12.
## Rb2MgTlHg6 (GGA-PBE)

Data for a relaxed Rb2MgTlHg6 crystal.

Cell lengths 6.4348, 7.8751, 8.2676 Å; angles 85.44, 67.65, 66.36 degrees
Closest atoms and distances in Å follow each position.
Space group P-1 (No. 2)
Asymmetric unit:
Rb1 0.0488 0.2152 0.1904  8 Hg 3.73-4.18, 2 Tl 4.14-4.16
Mg1 0.5000 0.0000 0.5000  6 Hg 2.85-2.98
Tl1 0.5000 0.5000 0.0000  6 Hg 3.09-3.22
Hg1 0.0128 0.2480 0.7218  1 Mg 2.88, 1 Tl 3.13, 1 Hg 3.21
Hg2 0.3660 0.3901 0.3991  1 Mg 2.98, 1 Tl 3.22, 4 Hg 3.24-3.32
Hg3 0.4878 0.7604 0.2664  1 Mg 2.85, 1 Tl 3.09

Properties
magnetization	0.00	μB per formula unit
total energy	-0.907	eV per atom